First-principles (GGA-PBE) data for AlAuCl after structural relaxation, as listed in Alexandria via LeMat-Bulk.

Lattice parameters (Å, degrees): 4.5379 4.5379 4.5379 60.00 60.00 60.00
Last column: nearest neighbours and their distance in Å.
Positions (direct):
Al1 0.0000 0.0000 0.0000  4 Au 2.78, 4 Cl 2.78
Au1 0.7500 0.7500 0.7500  4 Al 2.78
Cl1 0.2500 0.2500 0.2500  4 Al 2.78

density of states at the Fermi level	1.86	states/eV per cell
relative energy among the computed polymorphs	0.408	eV per atom
M_tot	0.00	μB per formula unit
total energy	-0.222	Ry/atom
density	6.52	g cm⁻³
formation energy (no corrections)	-0.066	eV/atom